# 1
# RbZnI2N, relaxed, DFT PBE
# Calculated density: 4.537 Mg/m³
# Crystal system: tetragonal
# Raw formation energy: -54 meV/atom
# M_tot: 2.01 Bohr magnetons per cell
# Calculated total energy: -2.79 eV per atom
data_RbZnI2N
_chemical_formula_sum 'Rb1 Zn1 I2 N1'
_symmetry_space_group_name_H-M 'P 4/m m m'
_symmetry_Int_Tables_number 123
_symmetry_space_group_name_Hall '-P 4 2'
_cell_length_a 6.203
_cell_length_b 6.203
_cell_length_c 3.983
_cell_angle_alpha 90.00
_cell_angle_beta 90.00
_cell_angle_gamma 90.00
loop_
_atom_site_label
_atom_site_type_symbol
_atom_site_fract_x
_atom_site_fract_y
_atom_site_fract_z
Rb1 Rb 0.000 0.000 0.000
Zn1 Zn 0.500 0.500 0.500
I1 I 0.000 0.500 0.500
N1 N 0.500 0.500 0.000

---

# 2
# RbZnI2N, relaxed, DFT PBE
# Calculated density: 2.422 Mg/m³
# Crystal system: tetragonal
# Raw formation energy: 880 meV/atom
# M_tot: 4.05 Bohr magnetons per cell
# Calculated total energy: -1.85 eV per atom
data_RbZnI2N
_chemical_formula_sum 'Rb1 Zn1 I2 N1'
_symmetry_space_group_name_H-M 'P 4/m m m'
_symmetry_Int_Tables_number 123
_symmetry_space_group_name_Hall '-P 4 2'
_cell_length_a 6.979
_cell_length_b 6.979
_cell_length_c 5.894
_cell_angle_alpha 90.00
_cell_angle_beta 90.00
_cell_angle_gamma 90.00
loop_
_atom_site_label
_atom_site_type_symbol
_atom_site_fract_x
_atom_site_fract_y
_atom_site_fract_z
Rb1 Rb 0.000 0.000 0.000
Zn1 Zn 0.500 0.500 0.500
I1 I 0.000 0.500 0.000
N1 N 0.000 0.000 0.500

---

# 3
# RbZrI2N, relaxed, DFT PBE
# Calculated density: 4.435 Mg/m³
# Crystal system: tetragonal
# Raw formation energy: 1449 meV/atom
# M_tot: 0.02 Bohr magnetons per cell
# Calculated total energy: -2.74 eV per atom
data_RbZrI2N
_chemical_formula_sum 'Rb1 Zr1 I2 N1'
_symmetry_space_group_name_H-M 'P 4/m m m'
_symmetry_Int_Tables_number 123
_symmetry_space_group_name_Hall '-P 4 2'
_cell_length_a 6.231
_cell_length_b 6.231
_cell_length_c 4.287
_cell_angle_alpha 90.00
_cell_angle_beta 90.00
_cell_angle_gamma 90.00
loop_
_atom_site_label
_atom_site_type_symbol
_atom_site_fract_x
_atom_site_fract_y
_atom_site_fract_z
Rb1 Rb 0.000 0.000 0.000
Zr1 Zr 0.500 0.500 0.500
I1 I 0.000 0.500 0.000
N1 N 0.000 0.000 0.500

---

The lowest calculated density belongs to which entry? number 2